Entry 1:
Computed, not measured: YPtBr2 after structural relaxation at the GGA-PBE level of DFT.

Results
Space-group type ... Imm2 (44)
V ... 115.0 Å³ per cell
ΔE_f (raw) ... -0.871 eV/atom
Energy ... -19.33 eV per cell
Energy above the most stable polymorph in this dataset ... 94 meV/atom
Fermi-level density of states ... 0.99 states/eV/f.u.

POSCAR file:
```
YPtBr2
1.0
-1.944 2.151 6.870
1.944 -2.151 6.870
1.944 2.151 -6.870
Y Pt Br
1 1 2
Direct
0.000 0.000 0.000
0.866 0.366 0.500
0.355 0.855 0.500
0.601 0.601 0.000
```


Entry 2:
Computed, not measured: YPtBr2 after structural relaxation at the GGA-PBE level of DFT.

Results
Space-group type ... Amm2 (38)
V ... 107.0 Å³ per cell
ΔE_f (raw) ... -0.965 eV/atom
Energy ... -19.71 eV per cell
Energy above the most stable polymorph in this dataset ... 0 meV/atom
Fermi-level density of states ... 0.28 states/eV/f.u.

POSCAR file:
```
YPtBr2
1.0
4.025 0.000 0.000
0.000 2.749 4.834
0.000 -2.749 4.834
Y Pt Br
1 1 2
Direct
0.000 0.000 0.000
0.500 0.809 0.809
0.000 0.569 0.569
0.500 0.262 0.262
```


Q: Which formula does entry 2 have?
A: YPtBr2